1.
A relaxed structure of CaTh2S3, computed with GGA-PBE.

Properties
- formation energy from raw total energies (eV per atom) = -1.875
- DFT total energy (eV per formula unit) = -40.5
- total magnetization (μB/f.u.) = 0.000
- crystal system = orthorhombic

Lattice parameters (Å, degrees): 5.7108 8.0901 12.0562 90.00 90.00 90.00
Element x y z (fractional)
Ca (0.2497, 0.8738, 0.0839)
Ca (0.2497, 0.3738, 0.4161)
Ca (0.7503, 0.6262, 0.5839)
Ca (0.7503, 0.1262, 0.9161)
Th (0.2504, 0.8772, 0.7470)
Th (0.2504, 0.3772, 0.7530)
Th (0.2498, 0.8810, 0.4186)
Th (0.2498, 0.3810, 0.0814)
Th (0.7502, 0.6190, 0.9186)
Th (0.7502, 0.1190, 0.5814)
Th (0.7496, 0.6228, 0.2470)
Th (0.7496, 0.1228, 0.2530)
S (0.2503, 0.6209, 0.5803)
S (0.2503, 0.1209, 0.9197)
S (0.2503, 0.6345, 0.9181)
S (0.2503, 0.1345, 0.5819)
S (0.2495, 0.6272, 0.2523)
S (0.2495, 0.1272, 0.2477)
S (0.7505, 0.8728, 0.7523)
S (0.7505, 0.3728, 0.7477)
S (0.7497, 0.8655, 0.4181)
S (0.7497, 0.3655, 0.0819)
S (0.7497, 0.8791, 0.0803)
S (0.7497, 0.3791, 0.4197)

=====

2.
A relaxed structure of ZnGe, computed with GGA-PBE.

Properties
- DFT total energy (eV per formula unit) = -5.3
- total magnetization (μB/f.u.) = 0.000
- ΔE_f (kJ/mol of formula units) = 57
- crystal system = tetragonal

Lattice parameters (Å, degrees): 6.7070 6.7070 4.3182 90.00 90.00 90.00
Element x y z (fractional)
Zn (0.7536, 0.2464, 0.0000)
Zn (0.2536, 0.2536, 0.5000)
Zn (0.7464, 0.7464, 0.5000)
Zn (0.2464, 0.7536, 0.0000)
Ge (0.8697, 0.8697, 0.0000)
Ge (0.3697, 0.6303, 0.5000)
Ge (0.6303, 0.3697, 0.5000)
Ge (0.1303, 0.1303, 0.0000)

=====

3.
A relaxed structure of Ti8Bi2Pb, computed with GGA-PBE.

Properties
- DFT total energy (eV per formula unit) = -73.8
- total magnetization (μB/f.u.) = 0.001
- ΔE_f (kJ/mol of formula units) = 77
- crystal system = monoclinic

Lattice parameters (Å, degrees): 5.2096 7.2844 7.4092 60.56 77.36 63.56
Element x y z (fractional)
Ti (0.8359, 0.0998, 0.2086)
Ti (0.8359, 0.3084, 0.7914)
Ti (0.3030, 0.4241, 0.0000)
Ti (0.5000, 0.7759, 0.4482)
Ti (0.5000, 0.2241, 0.5518)
Ti (0.6970, 0.5759, 0.0000)
Ti (0.1641, 0.6916, 0.2086)
Ti (0.1641, 0.9002, 0.7914)
Bi (0.0000, 0.3040, 0.3920)
Bi (0.0000, 0.6960, 0.6080)
Pb (0.5000, 0.0000, 0.0000)